Pm3Mg2Ga: relaxed, PBE-GGA.

Results
E_form	-253	meV/atom
total magnetic moment	0.0	Bohr magnetons per cell
density of states at the Fermi level	6.95	states/eV/f.u.

Unit cell a=3.762 b=3.762 c=11.614 alpha=90.00 beta=90.00 gamma=90.00
Space group P4/mmm (No. 123)
One atom of each set of equivalent atoms:
Pm  0.000  0.000  0.000
Pm  0.000  0.000  0.349
Mg  0.500  0.500  0.171
Ga  0.500  0.500  0.500